# TbTm2Mg2 (PBE, relaxed)
data_TbTm2Mg2
_cell_length_a 3.675
_cell_length_b 5.409
_cell_length_c 14.013
_cell_angle_alpha 90.00
_cell_angle_beta 97.52
_cell_angle_gamma 90.00
_space_group_name_H-M_alt 'P 1'
_space_group_IT_number 1
_space_group_name_Hall 'P 1'
loop_
_atom_site_label
_atom_site_type_symbol
_atom_site_fract_x
_atom_site_fract_y
_atom_site_fract_z
Tb1 Tb 0.847 0.750 0.695
Tb2 Tb 0.153 0.250 0.305
Tm1 Tm 0.044 0.750 0.087
Tm2 Tm 0.956 0.250 0.913
Tm3 Tm 0.237 0.750 0.475
Tm4 Tm 0.763 0.250 0.525
Mg1 Mg 0.639 0.750 0.279
Mg2 Mg 0.361 0.250 0.721
Mg3 Mg 0.446 0.750 0.893
Mg4 Mg 0.554 0.250 0.107
# - volume (Å³/atom) = 27.616
# - space-group type = Cmcm (63)
# - energy of formation (eV/atom) = -0.059
# - energy above the lowest structure with this stoichiometry (meV per atom) = 0.0